*a*
A plane-wave DFT calculation with PBE was carried out for a relaxed NbTeSe crystal.

Results
As for the calculated volume: 25.35 A^3/atom. As for the space group: No. 156. For the magnetization, the calculation gives 0.00 μB per cell.

Cell: 3.5804 3.5804 6.8499 Å, 90.00 90.00 120.00°
Fractional coordinates of all 3 atoms:
Nb (0.0000, 0.0000, 0.0000)
Te (0.3333, 0.6667, 0.7202)
Se (0.6667, 0.3333, 0.2355)


*b*
A plane-wave DFT calculation with PBE was carried out for a relaxed NbTeSe crystal.

Results
As for the calculated volume: 21.53 A^3/atom. As for the space group: No. 62. For the magnetization, the calculation gives 0.00 μB per cell.

Cell: 7.9514 3.4904 9.3097 Å, 90.00 90.00 90.00°
Fractional coordinates of all 12 atoms:
Nb (0.1700, 0.2500, 0.1657)
Nb (0.3300, 0.7500, 0.6657)
Nb (0.6700, 0.2500, 0.3343)
Nb (0.8300, 0.7500, 0.8343)
Te (0.0369, 0.2500, 0.6557)
Te (0.4631, 0.7500, 0.1557)
Te (0.5369, 0.2500, 0.8443)
Te (0.9631, 0.7500, 0.3443)
Se (0.1530, 0.7500, 0.9446)
Se (0.3470, 0.2500, 0.4446)
Se (0.6530, 0.7500, 0.5554)
Se (0.8470, 0.2500, 0.0554)


*c*
A plane-wave DFT calculation with PBE was carried out for a relaxed NbTeSe crystal.

Results
As for the calculated volume: 26.76 A^3/atom. As for the space group: No. 31. For the magnetization, the calculation gives 0.00 μB per cell.

Cell: 3.3615 3.6296 13.1576 Å, 90.00 90.00 90.00°
Fractional coordinates of all 6 atoms:
Nb (0.0000, 0.0024, 0.0000)
Nb (0.5000, 0.9976, 0.5000)
Te (0.0000, 0.4975, 0.6127)
Te (0.5000, 0.5025, 0.1127)
Se (0.0000, 0.9982, 0.3565)
Se (0.5000, 0.0018, 0.8565)


*d*
A plane-wave DFT calculation with PBE was carried out for a relaxed NbTeSe crystal.

Results
As for the calculated volume: 24.05 A^3/atom. As for the space group: No. 107. For the magnetization, the calculation gives 0.00 μB per cell.

Cell: 7.1451 7.1451 7.1451 Å, 153.57 153.57 37.72°
Fractional coordinates of all 3 atoms:
Nb (0.0000, 0.0000, 0.0000)
Te (0.3609, 0.3609, 0.0000)
Se (0.6082, 0.6082, 0.0000)


Stability check: which of them is least stable? *b*.


*a*
A plane-wave DFT calculation with PBE was carried out for a relaxed NbTeSe3 crystal.

Results
As for the calculated volume: 27.86 A^3/atom. As for the space group: No. 11. For the magnetization, the calculation gives 0.00 μB per cell.

Cell: 8.8887 3.5519 8.9099 Å, 90.00 97.91 90.00°
Fractional coordinates of all 10 atoms:
Nb (0.1213, 0.2500, 0.1326)
Nb (0.8787, 0.7500, 0.8674)
Te (0.4092, 0.2500, 0.5967)
Te (0.5908, 0.7500, 0.4033)
Se (0.0920, 0.2500, 0.8357)
Se (0.1487, 0.2500, 0.4286)
Se (0.3303, 0.7500, 0.1341)
Se (0.6697, 0.2500, 0.8659)
Se (0.8513, 0.7500, 0.5714)
Se (0.9080, 0.7500, 0.1643)


*b*
A plane-wave DFT calculation with PBE was carried out for a relaxed NbTeSe3 crystal.

Results
As for the calculated volume: 25.84 A^3/atom. As for the space group: No. 221. For the magnetization, the calculation gives 0.00 μB per cell.

Cell: 5.0556 5.0556 5.0556 Å, 90.00 90.00 90.00°
Fractional coordinates of all 5 atoms:
Nb (0.0000, 0.0000, 0.0000)
Te (0.5000, 0.5000, 0.5000)
Se (0.0000, 0.0000, 0.5000)
Se (0.0000, 0.5000, 0.0000)
Se (0.5000, 0.0000, 0.0000)


Stability check: which of them is least stable? *b*.


*a*
A plane-wave DFT calculation with PBE was carried out for a relaxed TiNb2Se5 crystal.

Results
As for the calculated volume: 23.41 A^3/atom. As for the space group: No. 63. For the magnetization, the calculation gives 0.00 μB per cell.

Cell: 6.8307 6.8307 11.6420 Å, 90.00 90.00 136.40°
Fractional coordinates of all 16 atoms:
Ti (0.1960, 0.8040, 0.7500)
Ti (0.8040, 0.1960, 0.2500)
Nb (0.1766, 0.8234, 0.0315)
Nb (0.1766, 0.8234, 0.4685)
Nb (0.8234, 0.1766, 0.5315)
Nb (0.8234, 0.1766, 0.9685)
Se (0.0418, 0.9582, 0.6192)
Se (0.0418, 0.9582, 0.8808)
Se (0.2606, 0.7394, 0.2500)
Se (0.3478, 0.6522, 0.5904)
Se (0.3478, 0.6522, 0.9096)
Se (0.6522, 0.3478, 0.0904)
Se (0.6522, 0.3478, 0.4096)
Se (0.7394, 0.2606, 0.7500)
Se (0.9582, 0.0418, 0.1192)
Se (0.9582, 0.0418, 0.3808)


*b*
A plane-wave DFT calculation with PBE was carried out for a relaxed TiNb2Se5 crystal.

Results
As for the calculated volume: 26.20 A^3/atom. As for the space group: No. 69. For the magnetization, the calculation gives 0.38 μB per cell.

Cell: 9.4823 7.2002 6.9963 Å, 83.80 49.02 47.18°
Fractional coordinates of all 8 atoms:
Ti (0.0000, 0.0000, 0.0000)
Nb (0.3110, 0.3110, 0.6890)
Nb (0.6890, 0.6890, 0.3110)
Se (0.0355, 0.2832, 0.7168)
Se (0.2832, 0.0355, 0.9645)
Se (0.5000, 0.5000, 0.5000)
Se (0.7168, 0.9645, 0.0355)
Se (0.9645, 0.7168, 0.2832)


Stability check: which of them is least stable? *b*.


*a*
A plane-wave DFT calculation with PBE was carried out for a relaxed TiNb3Se6 crystal.

Results
As for the calculated volume: 21.92 A^3/atom. As for the space group: No. 148. For the magnetization, the calculation gives 0.83 μB per cell.

Cell: 7.6147 7.6147 7.6147 Å, 85.97 85.97 85.97°
Fractional coordinates of all 20 atoms:
Ti (0.0000, 0.0000, 0.0000)
Ti (0.5000, 0.5000, 0.5000)
Nb (0.0968, 0.2289, 0.6291)
Nb (0.2289, 0.6291, 0.0968)
Nb (0.3709, 0.9032, 0.7711)
Nb (0.6291, 0.0968, 0.2289)
Nb (0.7711, 0.3709, 0.9032)
Nb (0.9032, 0.7711, 0.3709)
Se (0.0523, 0.8982, 0.6755)
Se (0.1018, 0.3245, 0.9477)
Se (0.1787, 0.5450, 0.4258)
Se (0.3245, 0.9477, 0.1018)
Se (0.4258, 0.1787, 0.5450)
Se (0.4550, 0.5742, 0.8213)
Se (0.5450, 0.4258, 0.1787)
Se (0.5742, 0.8213, 0.4550)
Se (0.6755, 0.0523, 0.8982)
Se (0.8213, 0.4550, 0.5742)
Se (0.8982, 0.6755, 0.0523)
Se (0.9477, 0.1018, 0.3245)


*b*
A plane-wave DFT calculation with PBE was carried out for a relaxed TiNb3Se6 crystal.

Results
As for the calculated volume: 20.78 A^3/atom. As for the space group: No. 182. For the magnetization, the calculation gives 2.03 μB per cell.

Cell: 6.0529 6.0529 13.0983 Å, 90.00 90.00 120.00°
Fractional coordinates of all 20 atoms:
Ti (0.3333, 0.6667, 0.2500)
Ti (0.6667, 0.3333, 0.7500)
Nb (0.0000, 0.0000, 0.0000)
Nb (0.0000, 0.0000, 0.5000)
Nb (0.3333, 0.6667, 0.0000)
Nb (0.3333, 0.6667, 0.5000)
Nb (0.6667, 0.3333, 0.0000)
Nb (0.6667, 0.3333, 0.5000)
Se (0.0035, 0.3333, 0.8714)
Se (0.0035, 0.6702, 0.6286)
Se (0.3298, 0.3333, 0.6286)
Se (0.3298, 0.9965, 0.8714)
Se (0.3333, 0.0035, 0.1286)
Se (0.3333, 0.3298, 0.3714)
Se (0.6667, 0.6702, 0.8714)
Se (0.6667, 0.9965, 0.6286)
Se (0.6702, 0.0035, 0.3714)
Se (0.6702, 0.6667, 0.1286)
Se (0.9965, 0.3298, 0.1286)
Se (0.9965, 0.6667, 0.3714)


Stability check: which of them is least stable? *a*.


*a*
A plane-wave DFT calculation with PBE was carried out for a relaxed TiNbSe3 crystal.

Results
As for the calculated volume: 23.33 A^3/atom. As for the space group: No. 221. For the magnetization, the calculation gives 2.89 μB per cell.

Cell: 4.8858 4.8858 4.8858 Å, 90.00 90.00 90.00°
Fractional coordinates of all 5 atoms:
Ti (0.0000, 0.0000, 0.0000)
Nb (0.5000, 0.5000, 0.5000)
Se (0.0000, 0.0000, 0.5000)
Se (0.0000, 0.5000, 0.0000)
Se (0.5000, 0.0000, 0.0000)


*b*
A plane-wave DFT calculation with PBE was carried out for a relaxed TiNbSe3 crystal.

Results
As for the calculated volume: 25.93 A^3/atom. As for the space group: No. 11. For the magnetization, the calculation gives 0.00 μB per cell.

Cell: 3.3892 11.8079 6.6966 Å, 90.00 104.61 90.00°
Fractional coordinates of all 10 atoms:
Ti (0.0062, 0.2500, 0.0164)
Ti (0.9938, 0.7500, 0.9836)
Nb (0.2943, 0.7500, 0.5879)
Nb (0.7057, 0.2500, 0.4121)
Se (0.1335, 0.0960, 0.2679)
Se (0.1335, 0.4040, 0.2679)
Se (0.3659, 0.2500, 0.7349)
Se (0.6341, 0.7500, 0.2651)
Se (0.8665, 0.5960, 0.7321)
Se (0.8665, 0.9040, 0.7321)


Stability check: which of them is least stable? *a*.


*a*
A plane-wave DFT calculation with PBE was carried out for a relaxed NbTlSe4 crystal.

Results
As for the calculated volume: 26.35 A^3/atom. As for the space group: No. 15. For the magnetization, the calculation gives 0.00 μB per cell.

Cell: 7.9400 7.9400 6.5044 Å, 102.27 102.27 121.20°
Fractional coordinates of all 12 atoms:
Nb (0.0006, 0.9994, 0.7500)
Nb (0.9994, 0.0006, 0.2500)
Tl (0.3673, 0.6327, 0.7500)
Tl (0.6327, 0.3673, 0.2500)
Se (0.0711, 0.7742, 0.4596)
Se (0.1923, 0.3494, 0.1393)
Se (0.2258, 0.9289, 0.0404)
Se (0.3494, 0.1923, 0.6393)
Se (0.6506, 0.8077, 0.3607)
Se (0.7742, 0.0711, 0.9596)
Se (0.8077, 0.6506, 0.8607)
Se (0.9289, 0.2258, 0.5404)


*b*
A plane-wave DFT calculation with PBE was carried out for a relaxed NbTlSe4 crystal.

Results
As for the calculated volume: 28.08 A^3/atom. As for the space group: No. 12. For the magnetization, the calculation gives 0.00 μB per cell.

Cell: 8.3474 8.3474 5.8759 Å, 91.23 91.23 55.41°
Fractional coordinates of all 12 atoms:
Nb (0.0265, 0.0265, 0.2343)
Nb (0.9735, 0.9735, 0.7657)
Tl (0.2804, 0.2804, 0.7454)
Tl (0.7196, 0.7196, 0.2546)
Se (0.1114, 0.6844, 0.1079)
Se (0.1981, 0.1981, 0.2599)
Se (0.2682, 0.7318, 0.5000)
Se (0.3156, 0.8886, 0.8921)
Se (0.6844, 0.1114, 0.1079)
Se (0.7318, 0.2682, 0.5000)
Se (0.8019, 0.8019, 0.7401)
Se (0.8886, 0.3156, 0.8921)


Stability check: which of them is least stable? *b*.


*a*
A plane-wave DFT calculation with PBE was carried out for a relaxed UNbSe3 crystal.

Results
As for the calculated volume: 24.88 A^3/atom. As for the space group: No. 36. For the magnetization, the calculation gives 3.14 μB per cell.

Cell: 10.7076 10.7076 6.4211 Å, 90.00 90.00 160.25°
Fractional coordinates of all 10 atoms:
U (0.1603, 0.8397, 0.5000)
U (0.8397, 0.1603, 0.0000)
Nb (0.3317, 0.6683, 0.4772)
Nb (0.6683, 0.3317, 0.9772)
Se (0.0872, 0.9128, 0.8483)
Se (0.2481, 0.7519, 0.1612)
Se (0.4157, 0.5843, 0.7967)
Se (0.5843, 0.4157, 0.2967)
Se (0.7519, 0.2481, 0.6612)
Se (0.9128, 0.0872, 0.3483)


*b*
A plane-wave DFT calculation with PBE was carried out for a relaxed UNbSe3 crystal.

Results
As for the calculated volume: 23.34 A^3/atom. As for the space group: No. 12. For the magnetization, the calculation gives 3.49 μB per cell.

Cell: 6.7744 6.7744 6.5617 Å, 99.93 99.93 123.64°
Fractional coordinates of all 10 atoms:
U (0.1651, 0.8349, 0.0000)
U (0.8349, 0.1651, 0.0000)
Nb (0.3183, 0.6817, 0.5000)
Nb (0.6817, 0.3183, 0.5000)
Se (0.1015, 0.4098, 0.7393)
Se (0.2620, 0.2620, 0.2763)
Se (0.4098, 0.1015, 0.7393)
Se (0.5902, 0.8985, 0.2607)
Se (0.7380, 0.7380, 0.7237)
Se (0.8985, 0.5902, 0.2607)


Stability check: which of them is least stable? *a*.


*a*
A plane-wave DFT calculation with PBE was carried out for a relaxed NbVSe2 crystal.

Results
As for the calculated volume: 18.21 A^3/atom. As for the space group: No. 166. For the magnetization, the calculation gives 0.00 μB per cell.

Cell: 8.8053 8.8053 8.8053 Å, 20.43 20.43 20.43°
Fractional coordinates of all 4 atoms:
Nb (0.0000, 0.0000, 0.0000)
V (0.5000, 0.5000, 0.5000)
Se (0.1016, 0.1016, 0.1016)
Se (0.8984, 0.8984, 0.8984)


*b*
A plane-wave DFT calculation with PBE was carried out for a relaxed NbVSe2 crystal.

Results
As for the calculated volume: 24.38 A^3/atom. As for the space group: No. 122. For the magnetization, the calculation gives 8.59 μB per cell.

Cell: 7.0552 7.0552 7.0552 Å, 131.11 131.11 71.64°
Fractional coordinates of all 8 atoms:
Nb (0.0000, 0.0000, 0.0000)
Nb (0.7500, 0.2500, 0.5000)
V (0.2500, 0.7500, 0.5000)
V (0.5000, 0.5000, 0.0000)
Se (0.1378, 0.6250, 0.0128)
Se (0.3750, 0.3878, 0.5128)
Se (0.6122, 0.1250, 0.9872)
Se (0.8750, 0.8622, 0.4872)


*c*
A plane-wave DFT calculation with PBE was carried out for a relaxed NbVSe2 crystal.

Results
As for the calculated volume: 16.46 A^3/atom. As for the space group: No. 225. For the magnetization, the calculation gives 2.11 μB per cell.

Cell: 4.5323 4.5323 4.5323 Å, 60.00 60.00 60.00°
Fractional coordinates of all 4 atoms:
Nb (0.0000, 0.0000, 0.0000)
V (0.5000, 0.5000, 0.5000)
Se (0.2500, 0.2500, 0.2500)
Se (0.7500, 0.7500, 0.7500)


Stability check: which of them is least stable? *b*.


*a*
A plane-wave DFT calculation with PBE was carried out for a relaxed NbVSe3 crystal.

Results
As for the calculated volume: 21.21 A^3/atom. As for the space group: No. 11. For the magnetization, the calculation gives 1.00 μB per cell.

Cell: 6.3194 3.4951 9.9895 Å, 90.00 106.02 90.00°
Fractional coordinates of all 10 atoms:
Nb (0.1720, 0.2500, 0.4509)
Nb (0.8280, 0.7500, 0.5491)
V (0.4852, 0.2500, 0.8880)
V (0.5148, 0.7500, 0.1120)
Se (0.1011, 0.2500, 0.6956)
Se (0.2517, 0.2500, 0.0474)
Se (0.4263, 0.7500, 0.3563)
Se (0.5737, 0.2500, 0.6437)
Se (0.7483, 0.7500, 0.9526)
Se (0.8989, 0.7500, 0.3044)


*b*
A plane-wave DFT calculation with PBE was carried out for a relaxed NbVSe3 crystal.

Results
As for the calculated volume: 25.53 A^3/atom. As for the space group: No. 221. For the magnetization, the calculation gives 3.79 μB per cell.

Cell: 5.0354 5.0354 5.0354 Å, 90.00 90.00 90.00°
Fractional coordinates of all 5 atoms:
Nb (0.0000, 0.0000, 0.0000)
V (0.5000, 0.5000, 0.5000)
Se (0.0000, 0.0000, 0.5000)
Se (0.0000, 0.5000, 0.0000)
Se (0.5000, 0.0000, 0.0000)


Stability check: which of them is least stable? *b*.


*a*
A plane-wave DFT calculation with PBE was carried out for a relaxed NbVSe4 crystal.

Results
As for the calculated volume: 20.97 A^3/atom. As for the space group: No. 15. For the magnetization, the calculation gives 2.74 μB per cell.

Cell: 8.3587 8.3587 5.8603 Å, 110.09 110.09 120.98°
Fractional coordinates of all 12 atoms:
Nb (0.0495, 0.9505, 0.7500)
Nb (0.9505, 0.0495, 0.2500)
V (0.2990, 0.7010, 0.2500)
V (0.7010, 0.2990, 0.7500)
Se (0.0139, 0.6243, 0.7925)
Se (0.2318, 0.3510, 0.8604)
Se (0.3510, 0.2318, 0.3604)
Se (0.3757, 0.9861, 0.7075)
Se (0.6243, 0.0139, 0.2925)
Se (0.6490, 0.7682, 0.6396)
Se (0.7682, 0.6490, 0.1396)
Se (0.9861, 0.3757, 0.2075)


*b*
A plane-wave DFT calculation with PBE was carried out for a relaxed NbVSe4 crystal.

Results
As for the calculated volume: 23.92 A^3/atom. As for the space group: No. 10. For the magnetization, the calculation gives 1.34 μB per cell.

Cell: 5.9635 3.4392 7.2775 Å, 90.00 105.91 90.00°
Fractional coordinates of all 6 atoms:
Nb (0.0000, 0.0000, 0.0000)
V (0.5000, 0.5000, 0.0000)
Se (0.2553, 0.5000, 0.2361)
Se (0.2668, 0.0000, 0.7720)
Se (0.7332, 0.0000, 0.2280)
Se (0.7447, 0.5000, 0.7639)


Stability check: which of them is least stable? *a*.